DFT (GGA-PBE) results for an optimized crystal structure of CdFe2Hg.

Cell: 4.0671 4.0671 7.9349 Å, 90.00 90.00 90.00°
Space group I-4m2 (No. 119)
Inequivalent atoms, fractional coordinates:
1 Cd 0.0000 0.0000 0.0000
2 Fe 0.0000 0.0000 0.5000
3 Fe 0.0000 0.5000 0.7500
4 Hg 0.0000 0.5000 0.2500

Formation enthalpy at 0 K = 0.43 eV/atom
Fermi-level density of states = 2.62 states/eV/f.u.
Theoretical density = 10.75 g/cm3
Calculated volume = 131 Å³ per cell

---

DFT (GGA-PBE) results for an optimized crystal structure of CdFe2Hg.

Cell: 3.0635 3.1123 7.0319 Å, 90.00 90.00 90.00°
Space group Pmm2 (No. 25)
Inequivalent atoms, fractional coordinates:
1 Cd 0.0000 0.0000 0.0000
2 Fe 0.0000 0.0000 0.4141
3 Fe 0.5000 0.5000 0.2610
4 Hg 0.5000 0.5000 0.6787

Formation enthalpy at 0 K = 0.24 eV/atom
Fermi-level density of states = 2.44 states/eV/f.u.
Theoretical density = 10.52 g/cm3
Calculated volume = 67 Å³ per cell